[1]
! SrErAs2O8 | Alexandria | PBE | relaxed; values from VASP
&SYSTEM
  ibrav = 0, nat = 12, ntyp = 4
/
ATOMIC_SPECIES
O 16.00 O.upf
Sr 87.62 Sr.upf
As 74.92 As.upf
Er 167.26 Er.upf
ATOMIC_POSITIONS angstrom
O 2.540 1.778 4.221
O 0.644 -3.292 2.810
Sr 0.131 1.001 3.768
O 1.721 -1.092 1.325
As 1.845 -2.049 2.760
O 1.611 -1.013 4.125
Er 0.000 0.000 0.000
O 3.403 -2.799 2.780
O -0.806 -0.718 2.103
O -2.100 -2.860 3.783
As -2.031 -1.914 2.339
O 4.318 -0.295 2.948
CELL_PARAMETERS angstrom
-3.745 1.137 3.347
-0.318 -4.964 1.330
6.038 2.780 1.850
! Space group: I-4 (82)
! DFT total energy in eV/atom: -6.622
! Size of the total moment in μB/f.u.: 1.10
! Volume in A^3/atom: 12.95
! Density in g/cm³: 5.69

[2]
! CdFeN2 | Alexandria | PBE | relaxed; values from VASP
&SYSTEM
  ibrav = 0, nat = 4, ntyp = 3
/
ATOMIC_SPECIES
Cd 112.41 Cd.upf
N 14.01 N.upf
Fe 55.84 Fe.upf
ATOMIC_POSITIONS angstrom
Cd 2.735 6.991 4.984
N 0.518 1.324 0.944
Fe 0.000 0.000 0.000
N 4.952 12.658 9.023
CELL_PARAMETERS angstrom
0.274 5.669 2.758
1.736 3.563 4.911
3.460 4.751 2.298
! Space group: R-3m (166)
! DFT total energy in eV/atom: -5.432
! Size of the total moment in μB/f.u.: 1.62
! Volume in A^3/atom: 14.58
! Density in g/cm³: 5.59

[3]
! Be3WAu | Alexandria | PBE | relaxed; values from VASP
&SYSTEM
  ibrav = 0, nat = 5, ntyp = 3
/
ATOMIC_SPECIES
Be 9.01 Be.upf
Au 196.97 Au.upf
W 183.84 W.upf
ATOMIC_POSITIONS angstrom
Be 2.149 0.000 0.000
Au 2.149 2.149 2.149
W 0.000 0.000 0.000
Be 0.000 0.000 2.149
Be 0.000 2.149 0.000
CELL_PARAMETERS angstrom
4.297 0.000 0.000
0.000 4.297 0.000
0.000 0.000 4.297
! Space group: Pm-3m (221)
! DFT formation energy in meV/atom: 1482
! Size of the total moment in μB/f.u.: 0.00
! Energy above the lowest structure with this stoichiometry in meV/atom: 355
! Volume in A^3/atom: 15.87
! Density in g/cm³: 8.53

Look up the density of the third one. 8.53 g/cm³

Repeat the second record exactly.
! CdFeN2 | Alexandria | PBE | relaxed; values from VASP
&SYSTEM
  ibrav = 0, nat = 4, ntyp = 3
/
ATOMIC_SPECIES
Cd 112.41 Cd.upf
N 14.01 N.upf
Fe 55.84 Fe.upf
ATOMIC_POSITIONS angstrom
Cd 2.735 6.991 4.984
N 0.518 1.324 0.944
Fe 0.000 0.000 0.000
N 4.952 12.658 9.023
CELL_PARAMETERS angstrom
0.274 5.669 2.758
1.736 3.563 4.911
3.460 4.751 2.298
! Space group: R-3m (166)
! DFT total energy in eV/atom: -5.432
! Size of the total moment in μB/f.u.: 1.62
! Volume in A^3/atom: 14.58
! Density in g/cm³: 5.59

What is the formula in the third record? Be3WAu

Copy entry 3 word for word.
! Be3WAu | Alexandria | PBE | relaxed; values from VASP
&SYSTEM
  ibrav = 0, nat = 5, ntyp = 3
/
ATOMIC_SPECIES
Be 9.01 Be.upf
Au 196.97 Au.upf
W 183.84 W.upf
ATOMIC_POSITIONS angstrom
Be 2.149 0.000 0.000
Au 2.149 2.149 2.149
W 0.000 0.000 0.000
Be 0.000 0.000 2.149
Be 0.000 2.149 0.000
CELL_PARAMETERS angstrom
4.297 0.000 0.000
0.000 4.297 0.000
0.000 0.000 4.297
! Space group: Pm-3m (221)
! DFT formation energy in meV/atom: 1482
! Size of the total moment in μB/f.u.: 0.00
! Energy above the lowest structure with this stoichiometry in meV/atom: 355
! Volume in A^3/atom: 15.87
! Density in g/cm³: 8.53